VASP calculation (PBE-GGA) on a geometry-optimized La2CdPb5 structure.

The electronic total energy is -4.1140 eV/atom.

The structure belongs to space group Pbam (No. 55); the cell edges are 6.941, 13.796 and 4.962 Å and the angles 90.00°, 90.00° and 90.00°. Symmetry generates all atoms from La at (0.235, 0.130, 0.000), Cd at (0.000, 0.500, 0.500), Pb at (0.000, 0.000, 0.500), Pb at (0.012, 0.747, 0.500) and Pb at (0.234, 0.381, 0.000).


VASP calculation (PBE-GGA) on a geometry-optimized LaCdPb2 structure.

The electronic total energy is -3.5481 eV/atom.

The structure belongs to space group Cmmm (No. 65); the cell edges are 5.253, 6.174 and 7.382 Å and the angles 90.00°, 90.00° and 90.00°. Symmetry generates all atoms from La at (0.000, 0.000, 0.000), Cd at (0.000, 0.000, 0.500) and Pb at (0.000, 0.500, 0.274).


VASP calculation (PBE-GGA) on a geometry-optimized La14CdPb structure.

The electronic total energy is -4.7154 eV/atom.

The structure belongs to space group P4/mmm (No. 123); the cell edges are 7.245, 7.245 and 10.554 Å and the angles 90.00°, 90.00° and 90.00°. Symmetry generates all atoms from La at (0.000, 0.000, 0.000), La at (0.000, 0.500, 0.000), La at (0.000, 0.500, 0.500), La at (0.250, 0.250, 0.256), La at (0.500, 0.500, 0.000), Cd at (0.000, 0.000, 0.500) and Pb at (0.500, 0.500, 0.500).


VASP calculation (PBE-GGA) on a geometry-optimized LaCdPb3 structure.

The electronic total energy is -2.7980 eV/atom.

The structure belongs to space group Pm-3m (No. 221); the cell edges are 6.186, 6.186 and 6.186 Å and the angles 90.00°, 90.00° and 90.00°. Symmetry generates all atoms from La at (0.000, 0.000, 0.000), Cd at (0.500, 0.500, 0.500) and Pb at (0.000, 0.000, 0.500).


VASP calculation (PBE-GGA) on a geometry-optimized LaCdPb2 structure.

The electronic total energy is -3.4389 eV/atom.

The structure belongs to space group I-42d (No. 122); the cell edges are 4.884, 4.884 and 21.902 Å and the angles 90.00°, 90.00° and 90.00°. Symmetry generates all atoms from La at (0.000, 0.000, 0.000), Cd at (0.000, 0.000, 0.500) and Pb at (0.219, 0.250, 0.625).


VASP calculation (PBE-GGA) on a geometry-optimized LaCd4Pb structure.

The electronic total energy is -2.3013 eV/atom.

The structure belongs to space group Cmcm (No. 63); the cell edges are 6.748, 18.121 and 5.176 Å and the angles 90.00°, 90.00° and 90.00°. Symmetry generates all atoms from La at (0.000, 0.120, 0.250), Cd at (0.246, 0.209, 0.750), Cd at (0.248, 0.043, 0.750) and Pb at (0.000, 0.376, 0.750).


VASP calculation (PBE-GGA) on a geometry-optimized LaCdPb structure.

The electronic total energy is -3.5807 eV/atom.

The structure belongs to space group Pmmn (No. 59, origin choice 2); the cell edges are 5.435, 6.704 and 9.867 Å and the angles 90.00°, 90.00° and 90.00°. Symmetry generates all atoms from La at (0.250, 0.250, 0.082), La at (0.250, 0.750, 0.418), Cd at (0.250, 0.000, 0.750), Pb at (0.250, 0.250, 0.409) and Pb at (0.250, 0.750, 0.091).


VASP calculation (PBE-GGA) on a geometry-optimized La2Cd16Pb structure.

The electronic total energy is -1.6627 eV/atom.

The structure belongs to space group R3m (No. 160, hexagonal axes); the cell edges are 10.3431, 10.3431 and 14.8113 Å and the angles 90.00°, 90.00° and 120.00°. Symmetry generates all atoms from La at (0.0000, 0.0000, 0.0000), La at (0.0000, 0.0000, 0.3324), Cd at (0.0000, 0.0000, 0.5633), Cd at (0.0011, 0.3090, 0.6678), Cd at (0.0154, 0.5077, 0.1665), Cd at (0.0192, 0.5096, 0.8211), Cd at (0.1731, 0.3461, 0.8493) and Pb at (0.0000, 0.0000, 0.7686).


VASP calculation (PBE-GGA) on a geometry-optimized LaCdPb2 structure.

The electronic total energy is -3.7471 eV/atom.

The structure belongs to space group P4/mmm (No. 123); the cell edges are 4.959, 4.959 and 4.697 Å and the angles 90.00°, 90.00° and 90.00°. Symmetry generates all atoms from La at (0.000, 0.000, 0.000), Cd at (0.500, 0.500, 0.000) and Pb at (0.000, 0.500, 0.500).


VASP calculation (PBE-GGA) on a geometry-optimized LaCdPb2 structure.

The electronic total energy is -3.5660 eV/atom.

The structure belongs to space group Pm (No. 6); the cell edges are 3.538, 5.403 and 6.328 Å and the angles 90.00°, 91.32° and 90.00°. Symmetry generates all atoms from La at (0.000, 0.000, 0.000), Cd at (0.515, 0.500, 0.739), Pb at (0.358, 0.000, 0.505) and Pb at (0.547, 0.500, 0.224).


VASP calculation (PBE-GGA) on a geometry-optimized La5Cd4Pb structure.

The electronic total energy is -3.5782 eV/atom.

The structure belongs to space group P4/mmm (No. 123); the cell edges are 3.912, 3.912 and 20.159 Å and the angles 90.00°, 90.00° and 90.00°. Symmetry generates all atoms from La at (0.000, 0.000, 0.000), La at (0.000, 0.000, 0.197), La at (0.000, 0.000, 0.395), Cd at (0.500, 0.500, 0.099), Cd at (0.500, 0.500, 0.294) and Pb at (0.500, 0.500, 0.500).


VASP calculation (PBE-GGA) on a geometry-optimized LaCdPb3 structure.

The electronic total energy is -3.2245 eV/atom.

The structure belongs to space group Pm-3m (No. 221); the cell edges are 5.618, 5.618 and 5.618 Å and the angles 90.00°, 90.00° and 90.00°. Symmetry generates all atoms from La at (0.000, 0.000, 0.000), Cd at (0.500, 0.500, 0.500) and Pb at (0.000, 0.500, 0.500).